Entry 1:
CsHfH3 | PBE-GGA | optimized geometry

a = 7.720 Å, b = 3.476 Å, c = 6.023 Å
α = 90.00°, β = 105.49°, γ = 90.00°
Fractional positions:
Hf: 0.251 0.000 0.660
H: 0.177 0.500 0.801
Hf: 0.251 0.500 0.160
Cs: 0.764 0.500 0.660
Cs: 0.764 0.000 0.160
H: 0.177 0.000 0.301
H: 0.998 0.000 0.574
H: 0.329 0.000 0.020
H: 0.998 0.500 0.074
H: 0.329 0.500 0.520



Entry 2:
CsHfH3 | PBE-GGA | optimized geometry

a = 3.628 Å, b = 3.346 Å, c = 6.872 Å
α = 90.00°, β = 90.00°, γ = 90.00°
Last column: magnetic moment on the atom in μB.
Fractional positions:
H: 0.000 0.500 0.989  -0.01
H: 0.000 0.500 0.649  -0.01
Hf: 0.000 0.000 0.815  0.55
Cs: 0.500 0.500 0.328  0.05
H: 0.500 0.000 0.700  0.00



Entry 3:
CsHfH2 | PBE-GGA | optimized geometry

a = 4.588 Å, b = 4.588 Å, c = 4.588 Å
α = 60.00°, β = 60.00°, γ = 60.00°
Fractional positions:
Hf: 0.500 0.500 0.500
H: 0.250 0.250 0.250
H: 0.750 0.750 0.750
Cs: 0.000 0.000 0.000



Entry 4:
Cs2HfHI6 | PBE-GGA | optimized geometry

a = 9.098 Å, b = 9.098 Å, c = 8.224 Å
α = 56.42°, β = 56.42°, γ = 90.00°
Fractional positions:
I: 0.290 0.290 0.419
H: 0.500 0.500 0.000
I: 0.710 0.710 0.581
Hf: 0.000 0.000 0.000
I: 0.222 0.778 0.000
I: 0.778 0.222 0.000
Cs: 0.750 0.250 0.500
I: 0.222 0.222 0.000
Cs: 0.250 0.750 0.500
I: 0.778 0.778 0.000



Entry 5:
Cs2Li3HfH12 | PBE-GGA | optimized geometry

a = 6.275 Å, b = 6.275 Å, c = 6.275 Å
α = 71.80°, β = 71.80°, γ = 71.80°
Fractional positions:
H: 0.228 0.228 0.910
Hf: 0.000 0.000 0.000
H: 0.330 0.889 0.889
H: 0.772 0.090 0.772
H: 0.670 0.111 0.111
Li: 0.000 0.500 0.000
H: 0.910 0.228 0.228
Li: 0.000 0.000 0.500
H: 0.889 0.330 0.889
H: 0.090 0.772 0.772
H: 0.111 0.670 0.111
Cs: 0.377 0.377 0.377
H: 0.889 0.889 0.330
H: 0.228 0.910 0.228
Cs: 0.623 0.623 0.623
H: 0.772 0.772 0.090
Li: 0.500 0.000 0.000
H: 0.111 0.111 0.670



Entry 6:
CsLiHfH6 | PBE-GGA | optimized geometry

a = 6.876 Å, b = 7.330 Å, c = 7.040 Å
α = 121.37°, β = 119.23°, γ = 90.00°
Fractional positions:
H: 0.155 0.337 0.750
H: 0.595 0.337 0.750
H: 0.845 0.663 0.250
H: 0.405 0.087 0.250
Li: 0.500 0.000 0.000
H: 0.155 0.913 0.750
H: 0.595 0.913 0.750
H: 0.638 0.888 0.276
Cs: 0.135 0.385 0.271
H: 0.146 0.896 0.292
H: 0.405 0.663 0.250
Li: 0.500 0.500 0.000
Cs: 0.865 0.615 0.729
Hf: 0.500 0.000 0.500
H: 0.845 0.087 0.250
H: 0.854 0.104 0.708
Hf: 0.000 0.000 0.500
H: 0.362 0.112 0.724



Calculated E in order - -4.26; -4.18; -3.14; -3.31; -3.20; -3.80 eV/atom